Material: PmCd3Au2
Method: DFT, PBE-GGA
State: optimized geometry

```
data_PmCd3Au2
_cell_length_a 14.869
_cell_length_b 4.607
_cell_length_c 9.114
_cell_angle_alpha 90.00
_cell_angle_beta 119.44
_cell_angle_gamma 90.00
_space_group_name_H-M_alt 'C 1 2/m 1'
_space_group_IT_number 12
_space_group_name_Hall '-C 2y'
loop_
_atom_site_label
_atom_site_type_symbol
_atom_site_fract_x
_atom_site_fract_y
_atom_site_fract_z
Pm1 Pm 0.137 0.000 0.022
Cd1 Cd 0.056 0.000 0.384
Cd2 Cd 0.096 0.500 0.722
Cd3 Cd 0.209 0.500 0.538
Au1 Au 0.057 0.500 0.177
Au2 Au 0.224 0.000 0.764
```

Properties
Total DFT energy (no corrections)   -2.74 eV per atom